Record 1
The following is a GGA-PBE calculation of TbMgCd2 after structural relaxation, from Alexandria via LeMat-Bulk.

Structure (POSCAR):
```
TbMgCd2
1.0
-0.1930 -1.6068 4.8403
-3.3003 -3.6527 1.3465
1.7019 -4.6562 1.2129
Cd Mg Tb
2 1 1
direct
0.0000 0.0000 0.0000 Cd
0.5000 0.5000 0.5000 Cd
0.2500 0.2500 0.2500 Mg
0.7500 0.7500 0.7500 Tb
```

Calculated values
Theoretical density, Mg/m³: 7.2
Total energy, eV/atom: -2.3266
Total magnetization, Bohr magnetons per cell: 0.00

***

Record 2
The following is a GGA-PBE calculation of Ba3Co5S12 after structural relaxation, from Alexandria via LeMat-Bulk.

Structure (POSCAR):
```
Ba3Co5S12
1.0
13.0591 0.0000 0.0000
-4.3530 12.3122 0.0000
-4.3530 -6.1561 10.6627
Co S Ba
20 48 12
direct
0.0000 0.5000 0.5000 Co
0.6250 0.8750 0.2500 Co
0.5000 0.0000 0.5000 Co
0.0000 0.0000 0.5000 Co
0.7500 0.6250 0.3750 Co
0.0000 0.5000 0.0000 Co
0.3750 0.1250 0.7500 Co
0.5000 0.5000 0.5000 Co
0.6250 0.7500 0.8750 Co
0.5000 0.0000 0.0000 Co
0.8750 0.6250 0.7500 Co
0.3750 0.2500 0.1250 Co
0.2500 0.8750 0.1250 Co
0.5000 0.5000 0.0000 Co
0.0000 0.0000 0.0000 Co
0.7500 0.1250 0.8750 Co
0.1250 0.7500 0.3750 Co
0.8750 0.2500 0.6250 Co
0.1250 0.3750 0.2500 Co
0.2500 0.3750 0.6250 Co
0.9053 0.8141 0.5018 S
0.4982 0.8123 0.9034 S
0.8123 0.3141 0.9089 S
0.5911 0.6877 0.6859 S
0.1859 0.0911 0.6877 S
0.9089 0.0947 0.5966 S
0.9982 0.5947 0.1859 S
0.9982 0.4034 0.3123 S
0.0966 0.6877 0.5018 S
0.0947 0.1859 0.4982 S
0.5966 0.0018 0.1877 S
0.8123 0.4982 0.4034 S
0.1877 0.6859 0.0911 S
0.0018 0.4053 0.8141 S
0.4034 0.4053 0.0911 S
0.4053 0.4034 0.5911 S
0.0911 0.1859 0.1877 S
0.0911 0.9053 0.4034 S
0.4982 0.6859 0.0947 S
0.5966 0.5947 0.9089 S
0.0018 0.5966 0.6877 S
0.5947 0.9982 0.6859 S
0.8141 0.9053 0.0018 S
0.3141 0.5018 0.4053 S
0.5018 0.3141 0.9053 S
0.4034 0.9982 0.8123 S
0.6877 0.5911 0.1859 S
0.5018 0.1877 0.0966 S
0.1859 0.0947 0.9982 S
0.3141 0.8123 0.4089 S
0.6859 0.4982 0.5947 S
0.4089 0.3123 0.3141 S
0.9034 0.5911 0.9053 S
0.8141 0.9089 0.3123 S
0.1877 0.5018 0.5966 S
0.4089 0.0966 0.5947 S
0.6877 0.0966 0.0018 S
0.4053 0.0018 0.3141 S
0.5911 0.9034 0.4053 S
0.6859 0.1877 0.5911 S
0.5947 0.5966 0.4089 S
0.0947 0.9089 0.0966 S
0.9034 0.3123 0.4982 S
0.3123 0.4089 0.8141 S
0.9053 0.0911 0.9034 S
0.3123 0.9034 0.9982 S
0.9089 0.8141 0.8123 S
0.0966 0.4089 0.0947 S
0.1250 0.2500 0.8750 Ba
0.3750 0.6250 0.2500 Ba
0.7500 0.3750 0.1250 Ba
0.6250 0.2500 0.3750 Ba
0.6250 0.3750 0.7500 Ba
0.2500 0.6250 0.8750 Ba
0.8750 0.7500 0.1250 Ba
0.1250 0.8750 0.7500 Ba
0.2500 0.1250 0.3750 Ba
0.7500 0.8750 0.6250 Ba
0.3750 0.7500 0.6250 Ba
0.8750 0.1250 0.2500 Ba
```

Calculated values
Theoretical density, Mg/m³: 4.2
Total energy, eV/atom: -5.1486
Uncorrected formation energy, eV/atom: -0.607
Total magnetization, Bohr magnetons per cell: 30.47